# Ba2ZrBr (PBE, optimized geometry)
data_Ba2ZrBr
_chemical_formula_sum 'Ba6 Zr3 Br3'
_space_group_name_H-M_alt 'P 1'
_space_group_IT_number 1
_cell_length_a 4.0462
_cell_length_b 4.0462
_cell_length_c 32.1042
_cell_angle_alpha 90.00
_cell_angle_beta 90.00
_cell_angle_gamma 120.00
loop_
_space_group_symop_operation_xyz
'x,y,z'
loop_
_atom_site_label
_atom_site_type_symbol
_atom_site_fract_x
_atom_site_fract_y
_atom_site_fract_z
Ba1 Ba 0.0000 0.0000 0.2454
Ba2 Ba 0.0000 0.0000 0.7546
Ba3 Ba 0.3333 0.6667 0.4213
Ba4 Ba 0.3333 0.6667 0.9121
Ba5 Ba 0.6667 0.3333 0.0879
Ba6 Ba 0.6667 0.3333 0.5787
Zr1 Zr 0.0000 0.0000 0.0000
Zr2 Zr 0.3333 0.6667 0.6667
Zr3 Zr 0.6667 0.3333 0.3333
Br1 Br 0.0000 0.0000 0.5000
Br2 Br 0.3333 0.6667 0.1667
Br3 Br 0.6667 0.3333 0.8333
# * E_form (uncorrected): -0.291 eV per atom


# BaReN3 (PBE, optimized geometry)
data_BaReN3
_chemical_formula_sum 'Ba2 Re2 N6'
_space_group_name_H-M_alt 'P 1'
_space_group_IT_number 1
_cell_length_a 3.7646
_cell_length_b 5.6401
_cell_length_c 7.4721
_cell_angle_alpha 82.37
_cell_angle_beta 79.33
_cell_angle_gamma 81.28
loop_
_space_group_symop_operation_xyz
'x,y,z'
loop_
_atom_site_label
_atom_site_type_symbol
_atom_site_fract_x
_atom_site_fract_y
_atom_site_fract_z
Ba1 Ba 0.0000 0.0000 0.0000
Ba2 Ba 0.2927 0.4437 0.3784
Re1 Re 0.5658 0.5352 0.7871
Re2 Re 0.7862 0.9355 0.5692
N1 N 0.0443 0.4681 0.9107
N2 N 0.1893 0.9650 0.3413
N3 N 0.2984 0.8094 0.6641
N4 N 0.5388 0.9655 0.3427
N5 N 0.6817 0.2399 0.6706
N6 N 0.7401 0.5306 0.0330
# * E_form (uncorrected): -0.151 eV per atom


# NdMg4Sc (PBE, optimized geometry)
data_NdMg4Sc
_chemical_formula_sum 'Nd1 Mg4 Sc1'
_space_group_name_H-M_alt 'P 1'
_space_group_IT_number 1
_cell_length_a 3.2761
_cell_length_b 6.4675
_cell_length_c 7.7137
_cell_angle_alpha 95.81
_cell_angle_beta 102.22
_cell_angle_gamma 104.50
loop_
_space_group_symop_operation_xyz
'x,y,z'
loop_
_atom_site_label
_atom_site_type_symbol
_atom_site_fract_x
_atom_site_fract_y
_atom_site_fract_z
Nd1 Nd 0.0000 0.0000 0.0000
Mg1 Mg 0.1799 0.6967 0.6605
Mg2 Mg 0.2613 0.5198 0.0047
Mg3 Mg 0.6185 0.8673 0.3663
Mg4 Mg 0.8492 0.3743 0.3222
Sc1 Sc 0.4522 0.2378 0.6652
# * formation energy: -0.024 eV per atom


# AcP2Rh5 (PBE, optimized geometry)
data_AcP2Rh5
_chemical_formula_sum 'Ac2 P4 Rh10'
_space_group_name_H-M_alt 'P 1'
_space_group_IT_number 1
_cell_length_a 3.9890
_cell_length_b 6.8061
_cell_length_c 9.6944
_cell_angle_alpha 90.00
_cell_angle_beta 90.00
_cell_angle_gamma 90.00
loop_
_space_group_symop_operation_xyz
'x,y,z'
loop_
_atom_site_label
_atom_site_type_symbol
_atom_site_fract_x
_atom_site_fract_y
_atom_site_fract_z
Ac1 Ac 0.0000 0.0000 0.0000
Ac2 Ac 0.5000 0.5000 0.5000
P1 P 0.0000 0.5000 0.2348
P2 P 0.0000 0.5000 0.7652
P3 P 0.5000 0.0000 0.2652
P4 P 0.5000 0.0000 0.7348
Rh1 Rh 0.0000 0.1994 0.3459
Rh2 Rh 0.0000 0.1994 0.6541
Rh3 Rh 0.0000 0.5000 0.0000
Rh4 Rh 0.0000 0.8006 0.3459
Rh5 Rh 0.0000 0.8006 0.6541
Rh6 Rh 0.5000 0.0000 0.5000
Rh7 Rh 0.5000 0.3006 0.1541
Rh8 Rh 0.5000 0.3006 0.8459
Rh9 Rh 0.5000 0.6994 0.1541
Rh10 Rh 0.5000 0.6994 0.8459
# * formation energy: -0.823 eV per atom


# BeFe2C (PBE, optimized geometry)
data_BeFe2C
_chemical_formula_sum 'Be4 Fe8 C4'
_space_group_name_H-M_alt 'P 1'
_space_group_IT_number 1
_cell_length_a 6.3457
_cell_length_b 6.3457
_cell_length_c 3.7381
_cell_angle_alpha 90.00
_cell_angle_beta 90.00
_cell_angle_gamma 90.00
loop_
_space_group_symop_operation_xyz
'x,y,z'
loop_
_atom_site_label
_atom_site_type_symbol
_atom_site_fract_x
_atom_site_fract_y
_atom_site_fract_z
Be1 Be 0.0000 0.0000 0.0000
Be2 Be 0.0000 0.5000 0.2500
Be3 Be 0.5000 0.0000 0.7500
Be4 Be 0.5000 0.5000 0.5000
Fe1 Fe 0.1364 0.2500 0.6250
Fe2 Fe 0.2500 0.6364 0.8750
Fe3 Fe 0.2500 0.8636 0.3750
Fe4 Fe 0.3636 0.2500 0.1250
Fe5 Fe 0.6364 0.7500 0.1250
Fe6 Fe 0.7500 0.1364 0.3750
Fe7 Fe 0.7500 0.3636 0.8750
Fe8 Fe 0.8636 0.7500 0.6250
C1 C 0.0000 0.0000 0.5000
C2 C 0.0000 0.5000 0.7500
C3 C 0.5000 0.0000 0.2500
C4 C 0.5000 0.5000 0.0000
# * formation energy: 0.269 eV per atom


# BPt3Pb2 (PBE, optimized geometry)
data_BPt3Pb2
_chemical_formula_sum 'B2 Pt6 Pb4'
_space_group_name_H-M_alt 'P 1'
_space_group_IT_number 1
_cell_length_a 5.5414
_cell_length_b 6.4948
_cell_length_c 7.3643
_cell_angle_alpha 64.28
_cell_angle_beta 86.61
_cell_angle_gamma 83.34
loop_
_space_group_symop_operation_xyz
'x,y,z'
loop_
_atom_site_label
_atom_site_type_symbol
_atom_site_fract_x
_atom_site_fract_y
_atom_site_fract_z
B1 B 0.2389 0.1337 0.4179
B2 B 0.7611 0.8663 0.5821
Pt1 Pt 0.0188 0.9043 0.3488
Pt2 Pt 0.1969 0.3436 0.1144
Pt3 Pt 0.4864 0.0919 0.6446
Pt4 Pt 0.5136 0.9081 0.3554
Pt5 Pt 0.8031 0.6564 0.8856
Pt6 Pt 0.9812 0.0957 0.6512
Pb1 Pb 0.2335 0.5002 0.6719
Pb2 Pb 0.2742 0.7990 0.0241
Pb3 Pb 0.7258 0.2010 0.9759
Pb4 Pb 0.7665 0.4998 0.3281
# * formation energy: -0.200 eV per atom


Number 6 is which compound? BPt3Pb2